Density functional theory data (GGA+U) for KAc4Co3O12 after structural relaxation.

Properties
Total DFT energy (no corrections): -132.85 eV/f.u.
SG: Im-3m, No. 229

Structure (POSCAR):
```
KAc4Co3O12
1.0
-4.061 4.061 4.061
4.061 -4.061 4.061
4.061 4.061 -4.061
K Ac Co O
1 4 3 12
Direct
0.000 0.000 0.000
0.000 0.000 0.500
0.000 0.500 0.000
0.500 0.000 0.000
0.500 0.500 0.500
0.000 0.500 0.500
0.500 0.000 0.500
0.500 0.500 0.000
0.000 0.280 0.280
0.000 0.720 0.720
0.250 0.500 0.750
0.250 0.750 0.500
0.280 0.000 0.280
0.280 0.280 0.000
0.500 0.250 0.750
0.500 0.750 0.250
0.720 0.000 0.720
0.720 0.720 0.000
0.750 0.250 0.500
0.750 0.500 0.250
```